Computed, not measured: TiReTc3 after structural relaxation at the GGA-PBE level of DFT.

Cell: 4.408 4.408 4.408 Å, 90.00 90.00 90.00°
Atoms (fractional coordinates):
Ti  0.000  0.000  0.000
Re  0.500  0.500  0.500
Tc  0.000  0.000  0.500
Tc  0.500  0.000  0.000
Tc  0.000  0.500  0.000

Values from the calculation:
- E above lowest polymorph (eV per formula unit) = 0.64
- DFT formation energy (eV/atom) = 1.56
- total DFT energy (no corrections) (eV for the cell shown) = -43.64
- V (Å³/f.u.) = 85.7